! Ce6PuGe PBE relaxed; values from VASP
! Energy of formation (eV/atom): -0.18
! Space-group type: C2/m, No. 12
! Magnetic moment (Bohr magnetons per cell): 0.0
! DOS at the Fermi energy (states/eV/atom): 2.08
&SYSTEM
  ibrav = 0, nat = 8, ntyp = 3
/
ATOMIC_SPECIES
Ce 140.12 Ce.upf
Pu 244.00 Pu.upf
Ge 72.64 Ge.upf
CELL_PARAMETERS angstrom
5.365 0.123 -2.835
-1.509 5.150 -2.835
-0.622 -0.851 8.828
ATOMIC_POSITIONS crystal
Ce 0.413 0.011 0.292
Ce 0.011 0.413 0.292
Ce 0.989 0.587 0.708
Ce 0.587 0.989 0.708
Ce 0.303 0.303 0.026
Ce 0.697 0.697 0.974
Pu 0.000 0.000 0.000
Ge 0.000 0.000 0.500